# CrB4Mo PBE relaxed
data_CrB4Mo
_chemical_formula_sum 'Cr1 B4 Mo1'
_cell_length_a 3.023
_cell_length_b 3.023
_cell_length_c 6.321
_cell_angle_alpha 90.00
_cell_angle_beta 90.00
_cell_angle_gamma 120.00
_symmetry_space_group_name_H-M 'P 1'
_symmetry_Int_Tables_number 1
loop_
_symmetry_equiv_pos_as_xyz
'x,y,z'
loop_
_atom_site_label
_atom_site_type_symbol
_atom_site_fract_x
_atom_site_fract_y
_atom_site_fract_z
_atom_site_occupancy
Mo1 Mo 0.000 0.000 0.500 1
B1 B 0.333 0.667 0.236 1
B2 B 0.667 0.333 0.764 1
B3 B 0.667 0.333 0.236 1
B4 B 0.333 0.667 0.764 1
Cr1 Cr 0.000 0.000 0.000 1
# - offset from the most stable computed form (meV per atom) = 0.0
# - volume (A^3/atom) = 8.34
# - density of states at the Fermi level (states/eV per atom) = 0.5910